! Y5Er4Th2 | the Alexandria database | PBE | optimized geometry; values from VASP
&SYSTEM
  ibrav = 0, nat = 11, ntyp = 3
/
ATOMIC_SPECIES
Er 167.26 Er.upf
Y 88.91 Y.upf
Th 232.04 Th.upf
CELL_PARAMETERS angstrom
-1.467 -2.944 -1.276
10.577 -3.915 -3.125
-3.667 -0.393 9.997
ATOMIC_POSITIONS crystal
Er 0.000 0.718 0.000
Y 0.334 0.591 0.668
Er 0.407 0.407 0.814
Er 0.593 0.593 0.186
Y 0.334 0.077 0.668
Er 0.000 0.282 0.000
Y 0.500 0.000 0.000
Y 0.666 0.409 0.332
Th 0.196 0.196 0.393
Y 0.666 0.923 0.332
Th 0.804 0.804 0.607
! Symmetry: Immm (71)
! Formation energy from the elements (eV/atom): 0.214
! Total magnetic moment (μB per atom): 0.00
! Crystal system: orthorhombic

***

! Y2Er8Th | the Alexandria database | PBE | optimized geometry; values from VASP
&SYSTEM
  ibrav = 0, nat = 11, ntyp = 3
/
ATOMIC_SPECIES
Er 167.26 Er.upf
Y 88.91 Y.upf
Th 232.04 Th.upf
CELL_PARAMETERS angstrom
5.539 1.494 0.000
2.375 8.515 0.000
1.187 4.257 8.007
ATOMIC_POSITIONS crystal
Er 0.292 0.426 0.000
Er 0.708 0.574 0.000
Y 0.000 0.307 0.386
Er 0.827 0.097 0.229
Er 0.827 0.326 0.771
Th 0.500 0.000 0.000
Er 0.173 0.674 0.229
Y 0.000 0.693 0.614
Er 0.500 0.209 0.583
Er 0.173 0.903 0.771
Er 0.500 0.791 0.417
! Symmetry: C2/m (12)
! Formation energy from the elements (eV/atom): 0.190
! Total magnetic moment (μB per atom): 0.00
! Crystal system: monoclinic

***

! YErTh3 | the Alexandria database | PBE | optimized geometry; values from VASP
&SYSTEM
  ibrav = 0, nat = 5, ntyp = 3
/
ATOMIC_SPECIES
Er 167.26 Er.upf
Th 232.04 Th.upf
Y 88.91 Y.upf
CELL_PARAMETERS angstrom
3.409 0.740 0.510
0.901 7.450 -4.919
0.901 -1.948 8.712
ATOMIC_POSITIONS crystal
Er 0.000 0.655 0.345
Th 0.443 0.622 0.892
Y 0.500 0.035 0.965
Th 0.557 0.108 0.378
Th 0.000 0.208 0.792
! Symmetry: C2 (5)
! Formation energy from the elements (eV/atom): 0.349
! Total magnetic moment (μB per atom): 0.00
! Crystal system: monoclinic

***

! YEr4Th2 | the Alexandria database | PBE | optimized geometry; values from VASP
&SYSTEM
  ibrav = 0, nat = 14, ntyp = 3
/
ATOMIC_SPECIES
Er 167.26 Er.upf
Th 232.04 Th.upf
Y 88.91 Y.upf
CELL_PARAMETERS angstrom
5.588 0.000 0.000
-2.794 4.830 0.000
0.000 0.000 16.622
ATOMIC_POSITIONS crystal
Er 0.165 0.331 0.250
Er 0.168 0.335 0.852
Th 0.834 0.668 0.943
Th 0.166 0.332 0.057
Y 0.499 0.998 0.250
Er 0.500 0.000 0.000
Er 0.168 0.335 0.648
Th 0.166 0.332 0.443
Er 0.832 0.665 0.352
Th 0.834 0.668 0.557
Er 0.832 0.665 0.148
Er 0.835 0.669 0.750
Y 0.501 0.002 0.750
Er 0.500 0.000 0.500
! Symmetry: Cmcm (63)
! Formation energy from the elements (eV/atom): 0.181
! Total magnetic moment (μB per atom): 0.00
! Crystal system: orthorhombic